Record 1
Compound: YMg2Tl2
Source: the Alexandria database
Functional: PBE-GGA
Structure: relaxed

Results
The calculation puts the volume at 25.9 A^3/atom. The value obtained for the calculated formation energy is -2.86 kcal/mol of atoms. As for the density: 7.02 g/cm3. The calculation puts the total energy at -3.0013 eV/atom.

```
YMg2Tl2
1.0
-4.1788 1.5885 0.0911
-0.6121 -1.3686 -4.2126
-4.5195 -5.6021 0.1037
Y Tl Mg
1 2 2
direct
0.0000 0.0000 0.0000
0.3902 0.3902 0.2196
0.6098 0.6098 0.7804
0.7500 0.2500 0.5000
0.2500 0.7500 0.5000
```


Record 2
Compound: YMg2Tl4
Source: the Alexandria database
Functional: PBE-GGA
Structure: relaxed

Results
The calculation puts the volume at 28.0 A^3/atom. The value obtained for the calculated formation energy is -2.59 kcal/mol of atoms. As for the density: 8.10 g/cm3. The calculation puts the total energy at -2.8437 eV/atom.

```
YMg2Tl4
1.0
5.9205 -0.3541 -2.2997
-3.0533 5.2995 -1.7487
-0.2040 0.3541 6.3481
Mg Tl Y
2 4 1
direct
0.5000 0.5000 0.0000
0.5000 0.0000 0.5000
0.0000 0.5000 0.0000
0.5000 0.5000 0.5000
0.5000 0.0000 0.0000
0.0000 0.0000 0.5000
0.0000 0.0000 0.0000
```


Record 3
Compound: Y2Mg2Tl
Source: the Alexandria database
Functional: PBE-GGA
Structure: relaxed

Results
The calculation puts the volume at 29.1 A^3/atom. The value obtained for the calculated formation energy is 1.62 kcal/mol of atoms. As for the density: 4.91 g/cm3. The calculation puts the total energy at -3.6263 eV/atom.

```
Y2Mg2Tl
1.0
-5.0868 6.8941 0.8157
-1.7061 -0.2612 -8.4315
-3.0733 -2.3498 0.6947
Mg Tl Y
4 2 4
direct
0.6456 0.8544 0.5000
0.1456 0.6456 0.5000
0.8544 0.3544 0.5000
0.3544 0.1456 0.5000
0.0000 0.0000 0.0000
0.5000 0.5000 0.0000
0.6509 0.1509 0.0000
0.1509 0.3491 0.0000
0.3491 0.8491 0.0000
0.8491 0.6509 0.0000
```


Record 4
Compound: Y4Mg5Tl
Source: the Alexandria database
Functional: PBE-GGA
Structure: relaxed

Results
The calculation puts the volume at 26.5 A^3/atom. The value obtained for the calculated formation energy is -3.74 kcal/mol of atoms. As for the density: 4.28 g/cm3. The calculation puts the total energy at -3.7819 eV/atom.

```
Y4Mg5Tl
1.0
-4.5624 1.3496 2.2687
-2.5261 1.4071 -5.9170
0.6352 -8.3105 0.0980
Y Mg Tl
4 5 1
direct
0.9012 0.1069 0.8023
0.0988 0.8931 0.1977
0.6949 0.3065 0.3897
0.3051 0.6935 0.6103
0.5000 0.5000 0.0000
0.7012 0.8004 0.4024
0.2988 0.1996 0.5976
0.9011 0.5843 0.8022
0.0989 0.4157 0.1978
0.5000 0.0000 0.0000
```


Record 5
Compound: Y5Mg4Tl
Source: the Alexandria database
Functional: PBE-GGA
Structure: relaxed

Results
The calculation puts the volume at 27.4 A^3/atom. The value obtained for the calculated formation energy is -3.98 kcal/mol of atoms. As for the density: 4.52 g/cm3. The calculation puts the total energy at -4.2790 eV/atom.

```
Y5Mg4Tl
1.0
3.8123 0.0000 0.0000
0.0000 3.8123 0.0000
0.0000 0.0000 18.8689
Y Tl Mg
5 1 4
direct
0.5000 0.5000 0.5000
0.5000 0.5000 0.8987
0.5000 0.5000 0.2993
0.5000 0.5000 0.1013
0.5000 0.5000 0.7007
0.0000 0.0000 0.0000
0.0000 0.0000 0.3996
0.0000 0.0000 0.2019
0.0000 0.0000 0.6004
0.0000 0.0000 0.7981
```


Record 6
Compound: YMg2Tl3
Source: the Alexandria database
Functional: PBE-GGA
Structure: relaxed

Results
The calculation puts the volume at 25.6 A^3/atom. The value obtained for the calculated formation energy is -4.21 kcal/mol of atoms. As for the density: 8.13 g/cm3. The calculation puts the total energy at -2.9747 eV/atom.

```
YMg2Tl3
1.0
4.0321 0.0000 0.0000
0.0000 4.7398 -1.6026
0.0000 0.0656 8.0043
Tl Mg Y
3 2 1
direct
0.5000 0.8295 0.6591
0.5000 0.5000 0.0000
0.5000 0.1705 0.3409
0.0000 0.3314 0.6627
0.0000 0.6686 0.3373
0.0000 0.0000 0.0000
```


Record 7
Compound: YMgTlZn
Source: the Alexandria database
Functional: PBE-GGA
Structure: relaxed

Results
The calculation puts the volume at 23.1 A^3/atom. The value obtained for the calculated formation energy is -6.02 kcal/mol of atoms. As for the density: 6.88 g/cm3. The calculation puts the total energy at -3.1858 eV/atom.

```
YMgTlZn
1.0
-2.4229 -0.4672 -4.4353
1.4903 -3.5111 -3.3483
-2.9130 -4.0609 -0.8849
Tl Mg Zn Y
1 1 1 1
direct
0.5000 0.5000 0.5000
0.2500 0.2500 0.2500
0.0000 0.0000 0.0000
0.7500 0.7500 0.7500
```


Record 8
Compound: YMgZrTl
Source: the Alexandria database
Functional: PBE-GGA
Structure: relaxed

Results
The calculation puts the volume at 24.4 A^3/atom. The value obtained for the calculated formation energy is -1.80 kcal/mol of atoms. As for the density: 6.95 g/cm3. The calculation puts the total energy at -4.8211 eV/atom.

```
YMgZrTl
1.0
5.1690 0.0000 0.0000
2.5845 4.4765 0.0000
2.5845 1.4922 4.2205
Mg Tl Y Zr
1 1 1 1
direct
0.0000 0.0000 0.0000
0.5000 0.5000 0.5000
0.7500 0.7500 0.7500
0.2500 0.2500 0.2500
```


Record 9
Compound: YbMgTl2
Source: the Alexandria database
Functional: PBE-GGA
Structure: relaxed

Results
The calculation puts the volume at 26.1 A^3/atom. The value obtained for the calculated formation energy is -7.21 kcal/mol of atoms. As for the density: 9.62 g/cm3. The calculation puts the total energy at -2.2761 eV/atom.

```
YbMgTl2
1.0
5.2882 0.0000 0.0000
2.6441 4.5797 0.0000
2.6441 1.5266 4.3178
Tl Mg Yb
2 1 1
direct
0.2500 0.2500 0.2500
0.7500 0.7500 0.7500
0.5000 0.5000 0.5000
0.0000 0.0000 0.0000
```


Record 10
Compound: MgTl4Zn
Source: the Alexandria database
Functional: PBE-GGA
Structure: relaxed

Results
The calculation puts the volume at 30.9 A^3/atom. The value obtained for the calculated formation energy is 6.82 kcal/mol of atoms. As for the density: 8.14 g/cm3. The calculation puts the total energy at -1.7600 eV/atom.

```
MgTl4Zn
1.0
0.0000 4.5234 4.5234
4.5234 0.0000 4.5234
4.5234 4.5234 0.0000
Tl Mg Zn
4 1 1
direct
0.3750 0.3750 0.3750
0.3750 0.8749 0.3750
0.8749 0.3750 0.3750
0.3750 0.3750 0.8749
0.0000 0.0000 0.0000
0.7500 0.7500 0.7500
```


Record 11
Compound: Mg3TlZn
Source: the Alexandria database
Functional: PBE-GGA
Structure: relaxed

Results
The calculation puts the volume at 31.0 A^3/atom. The value obtained for the calculated formation energy is 9.25 kcal/mol of atoms. As for the density: 3.67 g/cm3. The calculation puts the total energy at -1.2838 eV/atom.

```
Mg3TlZn
1.0
5.3738 0.0000 0.0000
0.0000 5.3738 0.0000
0.0000 0.0000 5.3738
Mg Zn Tl
3 1 1
direct
0.5000 0.0000 0.0000
0.0000 0.0000 0.5000
0.0000 0.5000 0.0000
0.5000 0.5000 0.5000
0.0000 0.0000 0.0000
```


Record 12
Compound: MgTl2Zn
Source: the Alexandria database
Functional: PBE-GGA
Structure: relaxed

Results
The calculation puts the volume at 25.2 A^3/atom. The value obtained for the calculated formation energy is 3.52 kcal/mol of atoms. As for the density: 8.23 g/cm3. The calculation puts the total energy at -1.7478 eV/atom.

```
MgTl2Zn
1.0
5.2205 0.0000 0.0000
2.6103 4.5211 0.0000
2.6103 1.5070 4.2625
Tl Zn Mg
2 1 1
direct
0.0000 0.0000 0.0000
0.7500 0.7500 0.7500
0.2500 0.2500 0.2500
0.5000 0.5000 0.5000
```